A crystal of AgMoBr2 relaxed with PBEsol, computed with SCAN.

Structure (CIF):
```
data_AgMoBr2
_symmetry_space_group_name_H-M 'P 1'
_symmetry_Int_Tables_number 1
_cell_length_a 3.397
_cell_length_b 7.616
_cell_length_c 7.616
_cell_angle_alpha 27.33
_cell_angle_beta 90.00
_cell_angle_gamma 90.00
loop_
_symmetry_equiv_pos_as_xyz
'x,y,z'
loop_
_atom_site_label
_atom_site_fract_x
_atom_site_fract_y
_atom_site_fract_z
Ag1 0.000 0.000 0.000
Mo1 0.500 0.416 0.416
Br1 0.000 0.293 0.293
Br2 0.500 0.593 0.593
```

crystal system: orthorhombic
E above lowest polymorph: 0 meV per atom
energy relative to the elements, uncorrected: 3.90 kcal/mol of atoms

***

A crystal of HfH2W relaxed with PBEsol, computed with SCAN.

Structure (CIF):
```
data_HfH2W
_symmetry_space_group_name_H-M 'P 1'
_symmetry_Int_Tables_number 1
_cell_length_a 3.892
_cell_length_b 3.892
_cell_length_c 3.892
_cell_angle_alpha 60.00
_cell_angle_beta 60.00
_cell_angle_gamma 60.00
loop_
_symmetry_equiv_pos_as_xyz
'x,y,z'
loop_
_atom_site_label
_atom_site_fract_x
_atom_site_fract_y
_atom_site_fract_z
Hf1 0.000 0.000 0.000
H1 0.250 0.250 0.250
H2 0.750 0.750 0.750
W1 0.500 0.500 0.500
```

crystal system: cubic
total DFT energy (no corrections): -136.67 eV per cell

***

A crystal of CrHgPb relaxed with PBEsol, computed with SCAN.

Structure (CIF):
```
data_CrHgPb
_symmetry_space_group_name_H-M 'P 1'
_symmetry_Int_Tables_number 1
_cell_length_a 4.729
_cell_length_b 4.729
_cell_length_c 3.457
_cell_angle_alpha 90.00
_cell_angle_beta 90.00
_cell_angle_gamma 120.00
loop_
_symmetry_equiv_pos_as_xyz
'x,y,z'
loop_
_atom_site_label
_atom_site_fract_x
_atom_site_fract_y
_atom_site_fract_z
Cr1 0.000 0.000 0.000
Hg1 0.333 0.667 0.160
Pb1 0.667 0.333 0.576
```

crystal system: trigonal
E above lowest polymorph: 48 meV per atom

***

A crystal of RbLiCr2 relaxed with PBEsol, computed with SCAN.

Structure (CIF):
```
data_RbLiCr2
_symmetry_space_group_name_H-M 'P 1'
_symmetry_Int_Tables_number 1
_cell_length_a 5.420
_cell_length_b 5.420
_cell_length_c 5.420
_cell_angle_alpha 60.00
_cell_angle_beta 60.00
_cell_angle_gamma 60.00
loop_
_symmetry_equiv_pos_as_xyz
'x,y,z'
loop_
_atom_site_label
_atom_site_fract_x
_atom_site_fract_y
_atom_site_fract_z
Rb1 0.000 0.000 0.000
Li1 0.500 0.500 0.500
Cr1 0.250 0.250 0.250
Cr2 0.750 0.750 0.750
```

crystal system: cubic
total DFT energy (no corrections): -55.84 eV per cell

***

A crystal of Nd2MgTl relaxed with PBEsol, computed with SCAN.

Structure (CIF):
```
data_Nd2MgTl
_symmetry_space_group_name_H-M 'P 1'
_symmetry_Int_Tables_number 1
_cell_length_a 5.416
_cell_length_b 5.416
_cell_length_c 5.416
_cell_angle_alpha 60.00
_cell_angle_beta 60.00
_cell_angle_gamma 60.00
loop_
_symmetry_equiv_pos_as_xyz
'x,y,z'
loop_
_atom_site_label
_atom_site_fract_x
_atom_site_fract_y
_atom_site_fract_z
Nd1 0.250 0.250 0.250
Nd2 0.750 0.750 0.750
Mg1 0.000 0.000 0.000
Tl1 0.500 0.500 0.500
```

crystal system: cubic
total DFT energy (no corrections): -166.07 eV per cell

***

A crystal of LiMg2Te relaxed with PBEsol, computed with SCAN.

Structure (CIF):
```
data_LiMg2Te
_symmetry_space_group_name_H-M 'P 1'
_symmetry_Int_Tables_number 1
_cell_length_a 5.794
_cell_length_b 5.794
_cell_length_c 5.794
_cell_angle_alpha 137.21
_cell_angle_beta 137.21
_cell_angle_gamma 62.11
loop_
_symmetry_equiv_pos_as_xyz
'x,y,z'
loop_
_atom_site_label
_atom_site_fract_x
_atom_site_fract_y
_atom_site_fract_z
Li1 0.000 0.000 0.000
Mg1 0.500 0.500 0.000
Mg2 0.750 0.250 0.500
Te1 0.250 0.750 0.500
```

crystal system: tetragonal
energy relative to the elements, uncorrected: -6.66 kcal/mol of atoms

***

A crystal of K3BiOs relaxed with PBEsol, computed with SCAN.

Structure (CIF):
```
data_K3BiOs
_symmetry_space_group_name_H-M 'P 1'
_symmetry_Int_Tables_number 1
_cell_length_a 6.008
_cell_length_b 6.008
_cell_length_c 6.008
_cell_angle_alpha 90.00
_cell_angle_beta 90.00
_cell_angle_gamma 90.00
loop_
_symmetry_equiv_pos_as_xyz
'x,y,z'
loop_
_atom_site_label
_atom_site_fract_x
_atom_site_fract_y
_atom_site_fract_z
K1 0.000 0.000 0.500
K2 0.000 0.500 0.000
K3 0.500 0.000 0.000
Bi1 0.500 0.500 0.500
Os1 0.000 0.000 0.000
```

crystal system: cubic
total DFT energy (no corrections): -169.75 eV per cell

***

A crystal of Ca9FeP7O28 relaxed with PBEsol, computed with SCAN.

Structure (CIF):
```
data_Ca9FeP7O28
_symmetry_space_group_name_H-M 'P 1'
_symmetry_Int_Tables_number 1
_cell_length_a 13.659
_cell_length_b 13.659
_cell_length_c 13.659
_cell_angle_alpha 44.10
_cell_angle_beta 44.10
_cell_angle_gamma 44.10
loop_
_symmetry_equiv_pos_as_xyz
'x,y,z'
loop_
_atom_site_label
_atom_site_fract_x
_atom_site_fract_y
_atom_site_fract_z
Ca1 0.058 0.461 0.481
Ca2 0.071 0.665 0.086
Ca3 0.086 0.071 0.665
Ca4 0.165 0.571 0.586
Ca5 0.362 0.914 0.944
Ca6 0.414 0.862 0.444
Ca7 0.444 0.414 0.862
Ca8 0.461 0.481 0.058
Ca9 0.481 0.058 0.461
Ca10 0.558 0.981 0.961
Ca11 0.571 0.586 0.165
Ca12 0.586 0.165 0.571
Ca13 0.665 0.086 0.071
Ca14 0.862 0.444 0.414
Ca15 0.914 0.944 0.362
Ca16 0.944 0.362 0.914
Ca17 0.961 0.558 0.981
Ca18 0.981 0.961 0.558
Fe1 0.009 0.009 0.009
Fe2 0.509 0.509 0.509
P1 0.190 0.698 0.228
P2 0.198 0.690 0.728
P3 0.228 0.190 0.698
P4 0.278 0.278 0.278
P5 0.287 0.826 0.322
P6 0.322 0.287 0.826
P7 0.326 0.787 0.822
P8 0.690 0.728 0.198
P9 0.698 0.228 0.190
P10 0.728 0.198 0.690
P11 0.778 0.778 0.778
P12 0.787 0.822 0.326
P13 0.822 0.326 0.787
P14 0.826 0.322 0.287
O1 0.093 0.660 0.402
O2 0.117 0.404 0.276
O3 0.117 0.880 0.136
O4 0.121 0.683 0.691
O5 0.125 0.839 0.396
O6 0.136 0.117 0.880
O7 0.143 0.887 0.895
O8 0.147 0.368 0.876
O9 0.148 0.859 0.674
O10 0.160 0.593 0.902
O11 0.174 0.359 0.648
O12 0.183 0.621 0.191
O13 0.191 0.183 0.621
O14 0.267 0.912 0.371
O15 0.276 0.117 0.404
O16 0.320 0.320 0.320
O17 0.339 0.625 0.896
O18 0.359 0.648 0.174
O19 0.368 0.876 0.147
O20 0.371 0.267 0.912
O21 0.376 0.868 0.647
O22 0.380 0.617 0.636
O23 0.387 0.643 0.395
O24 0.395 0.387 0.643
O25 0.396 0.125 0.839
O26 0.402 0.093 0.660
O27 0.404 0.276 0.117
O28 0.412 0.767 0.871
O29 0.593 0.902 0.160
O30 0.617 0.636 0.380
O31 0.617 0.776 0.904
O32 0.621 0.191 0.183
O33 0.625 0.896 0.339
O34 0.636 0.380 0.617
O35 0.643 0.395 0.387
O36 0.647 0.376 0.868
O37 0.648 0.174 0.359
O38 0.660 0.402 0.093
O39 0.674 0.148 0.859
O40 0.683 0.691 0.121
O41 0.691 0.121 0.683
O42 0.767 0.871 0.412
O43 0.776 0.904 0.617
O44 0.820 0.820 0.820
O45 0.839 0.396 0.125
O46 0.859 0.674 0.148
O47 0.868 0.647 0.376
O48 0.871 0.412 0.767
O49 0.876 0.147 0.368
O50 0.880 0.136 0.117
O51 0.887 0.895 0.143
O52 0.895 0.143 0.887
O53 0.896 0.339 0.625
O54 0.902 0.160 0.593
O55 0.904 0.617 0.776
O56 0.912 0.371 0.267
```

crystal system: trigonal
energy relative to the elements, uncorrected: -70.38 kcal/mol of atoms

***

The following magnetization values (in μB/f.u.) correspond, in order, to the records above: 1.6; 0.0; 4.1; 10.4; 0.0; 0.0; 4.0; 1.0.
The following V values (in A^3/atom) correspond, in order, to the records above: 22.61; 10.42; 22.32; 28.14; 28.08; 22.17; 43.38; 12.46.